Entry 1:
Material: AgP2Se
Method: DFT, PBE
State: relaxed

abc: 3.009 3.009 8.833
angles: 90.00 90.00 90.00
Space group P4mm (No. 99)
Unique sites:
Ag 0.000 0.000 0.000 [1 per cell]
P 0.000 0.000 0.375 [1 per cell]
P 0.500 0.500 0.263 [1 per cell]
Se 0.500 0.500 0.769 [1 per cell]

Properties
As for the crystal system: tetragonal. Its formation energy (no corrections) is 337 meV/atom.

---

Entry 2:
Material: TcOsNF2
Method: DFT, PBE
State: relaxed

abc: 4.200 4.200 3.817
angles: 90.00 90.00 90.00
Space group P4/mmm (No. 123)
Unique sites:
Tc 0.000 0.000 0.000 [1 per cell]
Os 0.500 0.500 0.500 [1 per cell]
N 0.000 0.000 0.500 [1 per cell]
F 0.000 0.500 0.000 [2 per cell]

Properties
As for the crystal system: tetragonal. Its formation energy (no corrections) is 659 meV/atom. The calculation puts the energy above the lowest structure with this stoichiometry at 0.2588 eV/atom.

---

Entry 3:
Material: Ba2NaCd6Ag
Method: DFT, PBE
State: relaxed

abc: 10.977 10.977 10.977
angles: 90.00 90.00 90.00
Space group Fm-3m (No. 225)
Unique sites:
Ba 0.250 0.250 0.250 [8 per cell]
Na 0.000 0.000 0.000 [4 per cell]
Cd 0.000 0.000 0.254 [24 per cell]
Ag 0.000 0.000 0.500 [4 per cell]

Properties
As for the crystal system: cubic. The calculation puts the formation energy at -0.018 eV/atom.

---

Entry 4:
Material: SbSe2Cl
Method: DFT, PBE
State: relaxed

abc: 3.332 6.581 9.380
angles: 90.00 90.00 90.00
Space group Cmm2 (No. 35)
Unique sites:
Sb 0.000 0.000 0.000 [2 per cell]
Se 0.000 0.000 0.520 [2 per cell]
Se 0.000 0.500 0.712 [2 per cell]
Cl 0.000 0.500 0.234 [2 per cell]

Properties
As for the crystal system: orthorhombic. Its formation energy (no corrections) is 127 meV/atom. The calculation puts the energy above the lowest structure with this stoichiometry at 0.4370 eV/atom.

---

Entry 5:
Material: PrDy4In4
Method: DFT, PBE
State: relaxed

abc: 7.284 7.284 10.572
angles: 90.00 90.00 90.00
Space group P4_2/nmc (No. 137, origin choice 2)
Unique sites:
Pr 0.250 0.750 0.250 [2 per cell]
Dy 0.017 0.250 0.160 [8 per cell]
In 0.039 0.250 0.458 [8 per cell]

Properties
As for the crystal system: tetragonal. The calculation puts the formation energy at -0.185 eV/atom.

---

Entry 6:
Material: K3Ba
Method: DFT, PBE
State: relaxed

abc: 8.310 8.310 8.310
angles: 90.00 90.00 90.00
Space group Pm-3n (No. 223)
Unique sites:
K 0.000 0.250 0.500 [6 per cell]
Ba 0.000 0.000 0.000 [2 per cell]

Properties
As for the crystal system: cubic. The calculation puts the formation energy at 0.140 eV/atom.

---

Entry 7:
Material: Na2DyZnGe2
Method: DFT, PBE
State: relaxed

abc: 4.419 8.492 7.202
angles: 90.00 90.00 90.00
Space group Pmc2_1 (No. 26)
Unique sites:
Na 0.000 0.086 0.000 [2 per cell]
Na 0.500 0.152 0.319 [2 per cell]
Dy 0.500 0.463 0.986 [2 per cell]
Zn 0.000 0.313 0.631 [2 per cell]
Ge 0.000 0.391 0.265 [2 per cell]
Ge 0.500 0.192 0.727 [2 per cell]

Properties
As for the crystal system: orthorhombic. The calculation puts the formation energy at -0.354 eV/atom.

---

Entry 8:
Material: FeCuOs2
Method: DFT, PBE
State: relaxed

abc: 2.659 3.717 5.258
angles: 90.00 90.00 90.00
Space group Pmmm (No. 47)
Unique sites:
Fe 0.000 0.000 0.000 [1 per cell]
Cu 0.000 0.000 0.500 [1 per cell]
Os 0.500 0.500 0.246 [2 per cell]

Properties
As for the crystal system: orthorhombic. The calculation puts the formation energy at 0.332 eV/atom. The calculation puts the energy above the lowest structure with this stoichiometry at 0.1296 eV/atom.

---

Entry 9:
Material: K6CdSe4
Method: DFT, PBE
State: relaxed

abc: 10.4777 10.4777 8.0124
angles: 90.00 90.00 120.00
Space group P6_3mc (No. 186)
Unique sites:
K 0.0563 0.5281 0.0000 [6 per cell]
K 0.1484 0.2969 0.3257 [6 per cell]
Cd 0.3333 0.6667 0.6218 [2 per cell]
Se 0.1905 0.3810 0.7240 [6 per cell]
Se 0.3333 0.6667 0.2801 [2 per cell]

Properties
As for the crystal system: hexagonal. Its formation energy (no corrections) is -1087 meV/atom.

---

Entry 10:
Material: Rb3Ac2ThTe6
Method: DFT, PBE
State: relaxed

abc: 8.243 14.275 9.058
angles: 90.00 107.70 90.00
Space group C2/m (No. 12)
Unique sites:
Rb 0.000 0.000 0.000 [2 per cell]
Rb 0.000 0.329 0.000 [4 per cell]
Ac 0.000 0.166 0.500 [4 per cell]
Th 0.000 0.500 0.500 [2 per cell]
Te 0.229 0.341 0.712 [8 per cell]
Te 0.246 0.500 0.287 [4 per cell]

Properties
As for the crystal system: monoclinic. Its formation energy (no corrections) is -1367 meV/atom.

---

Entry 11:
Material: ErCd12Hg6
Method: DFT, PBE
State: relaxed

abc: 12.5283 12.5283 10.1075
angles: 90.00 90.00 120.00
Space group R-3 (No. 148, hexagonal axes)
Unique sites:
Er 0.0000 0.0000 0.0000 [3 per cell]
Cd 0.0025 0.2650 0.0029 [18 per cell]
Cd 0.0699 0.5302 0.1212 [18 per cell]
Hg 0.0810 0.1703 0.7514 [18 per cell]

Properties
As for the crystal system: trigonal. The calculation puts the formation energy at -0.042 eV/atom. The calculation puts the energy above the lowest structure with this stoichiometry at 0.0000 eV/atom.

---

Entry 12:
Material: NpSbAs2
Method: DFT, PBE
State: relaxed

abc: 4.0030 4.0030 25.9057
angles: 90.00 90.00 120.00
Space group R-3m (No. 166, hexagonal axes)
Unique sites:
Np 0.0000 0.0000 0.0000 [3 per cell]
Sb 0.0000 0.0000 0.5000 [3 per cell]
As 0.0000 0.0000 0.3946 [6 per cell]

Properties
As for the crystal system: trigonal. Its formation energy (no corrections) is 145 meV/atom. The calculation puts the energy above the lowest structure with this stoichiometry at 0.4018 eV/atom.

---

Entry 13:
Material: LaP2I
Method: DFT, PBE
State: relaxed

abc: 5.813 5.813 16.013
angles: 90.00 90.00 90.00
Space group I-42d (No. 122)
Unique sites:
La 0.000 0.000 0.000 [4 per cell]
P 0.233 0.250 0.625 [8 per cell]
I 0.000 0.000 0.500 [4 per cell]

Properties
As for the crystal system: tetragonal. Its formation energy (no corrections) is 139 meV/atom. The calculation puts the energy above the lowest structure with this stoichiometry at 0.0999 eV/atom.

---

Entry 14:
Material: Ac2InSn4Au3
Method: DFT, PBE
State: relaxed

abc: 4.852 4.852 11.376
angles: 90.00 90.00 90.00
Space group P-4m2 (No. 115)
Unique sites:
Ac 0.000 0.500 0.246 [2 per cell]
In 0.000 0.000 0.500 [1 per cell]
Sn 0.000 0.000 0.000 [1 per cell]
Sn 0.000 0.500 0.637 [2 per cell]
Sn 0.500 0.500 0.000 [1 per cell]
Au 0.000 0.500 0.872 [2 per cell]
Au 0.500 0.500 0.500 [1 per cell]

Properties
As for the crystal system: tetragonal. The calculation puts the formation energy at -0.542 eV/atom.

---

Entry 15:
Material: Y10Ge3Sb3
Method: DFT, PBE
State: relaxed

abc: 8.7659 8.7659 6.3895
angles: 90.00 90.00 120.00
Space group P-62m (No. 189)
Unique sites:
Y 0.0000 0.2442 0.0000 [3 per cell]
Y 0.0000 0.7573 0.5000 [3 per cell]
Y 0.3333 0.6667 0.2431 [4 per cell]
Ge 0.0000 0.6109 0.0000 [3 per cell]
Sb 0.0000 0.3943 0.5000 [3 per cell]

Properties
As for the crystal system: hexagonal. Its formation energy (no corrections) is -888 meV/atom.

---

Entry 16:
Material: La3Pr6Y2
Method: DFT, PBE
State: relaxed

abc: 4.898 4.898 34.456
angles: 90.00 90.00 90.00
Space group I4/mmm (No. 139)
Unique sites:
La 0.000 0.000 0.000 [2 per cell]
La 0.000 0.000 0.206 [4 per cell]
Pr 0.000 0.000 0.307 [4 per cell]
Pr 0.000 0.500 0.119 [8 per cell]
Y 0.000 0.000 0.455 [4 per cell]

Properties
As for the crystal system: tetragonal. The calculation puts the formation energy at 0.259 eV/atom.

---

Entry 17:
Material: TiBiCSe2
Method: DFT, PBE
State: relaxed

abc: 5.523 5.523 5.424
angles: 90.00 90.00 90.00
Space group P4/mmm (No. 123)
Unique sites:
Ti 0.000 0.000 0.000 [1 per cell]
Bi 0.000 0.000 0.500 [1 per cell]
C 0.500 0.500 0.000 [1 per cell]
Se 0.000 0.500 0.500 [2 per cell]

Properties
As for the crystal system: tetragonal. Its formation energy (no corrections) is 2167 meV/atom.

---

Entry 18:
Material: MnGaBRuSe
Method: DFT, PBE
State: relaxed

abc: 5.979 3.452 7.559
angles: 90.00 105.35 90.00
Space group Cm (No. 8)
Unique sites:
Mn 0.000 0.000 0.000 [2 per cell]
Ga 0.420 0.000 0.259 [2 per cell]
B 0.142 0.000 0.424 [2 per cell]
Ru 0.338 0.500 0.512 [2 per cell]
Se 0.096 0.500 0.787 [2 per cell]

Properties
As for the crystal system: monoclinic. Its formation energy (no corrections) is 62 meV/atom. The calculation puts the energy above the lowest structure with this stoichiometry at 0.2800 eV/atom.

---

Entry 19:
Material: KBeP2O
Method: DFT, PBE
State: relaxed

abc: 4.213 4.213 4.754
angles: 90.00 90.00 90.00
Space group P4/mmm (No. 123)
Unique sites:
K 0.000 0.000 0.000 [1 per cell]
Be 0.500 0.500 0.500 [1 per cell]
P 0.000 0.500 0.500 [2 per cell]
O 0.500 0.500 0.000 [1 per cell]

Properties
As for the crystal system: tetragonal. Its formation energy (no corrections) is 268 meV/atom. The calculation puts the energy above the lowest structure with this stoichiometry at 0.0000 eV/atom.

---

Entry 20:
Material: CoAgPt
Method: DFT, PBE
State: relaxed

abc: 4.3841 4.3841 2.7446
angles: 90.00 90.00 120.00
Space group P-6m2 (No. 187)
Unique sites:
Co 0.0000 0.0000 0.0000 [1 per cell]
Ag 0.6667 0.3333 0.5000 [1 per cell]
Pt 0.3333 0.6667 0.0000 [1 per cell]

Properties
As for the crystal system: hexagonal. The calculation puts the formation energy at 0.215 eV/atom. The calculation puts the energy above the lowest structure with this stoichiometry at 0.1687 eV/atom.